First-principles (GGA-PBE) data for a geometry-optimized ZrNi2Sn2 structure, as listed in the Alexandria database.

Lattice parameters (Å, degrees): 7.7053 7.7053 2.9775 90.00 90.00 90.00
Closest atoms and distances in Å follow each position.
Fractional coordinates of all 10 atoms:
Sn1 0.3549 0.8549 0.0000  6 Ni 2.68-2.72, 2 Zr 2.95, 2 Sn 2.98
Sn2 0.8549 0.6451 0.0000  6 Ni 2.68-2.72, 2 Zr 2.95, 2 Sn 2.98
Ni1 0.6507 0.8493 0.5000  6 Sn 2.68-2.72, 2 Ni 2.98
Sn3 0.1451 0.3549 0.0000  6 Ni 2.68-2.72, 2 Zr 2.95, 2 Sn 2.98
Zr1 0.0000 0.0000 0.0000  4 Sn 2.95, 2 Zr 2.98, 8 Ni 3.29
Ni2 0.1507 0.6507 0.5000  6 Sn 2.68-2.72, 2 Ni 2.98
Zr2 0.5000 0.5000 0.0000  4 Sn 2.95, 2 Zr 2.98, 8 Ni 3.29
Ni3 0.3493 0.1507 0.5000  6 Sn 2.68-2.72, 2 Ni 2.98
Ni4 0.8493 0.3493 0.5000  6 Sn 2.68-2.72, 2 Ni 2.98
Sn4 0.6451 0.1451 0.0000  6 Ni 2.68-2.72, 2 Zr 2.95, 2 Sn 2.98

## Properties
Its calculated volume is 177 Å³/cell. The calculation puts the total magnetization at 0.00 μB per cell. For the energy, the calculation gives -5.77 eV/atom.

First-principles (GGA-PBE) data for a geometry-optimized Pr6Dy3Sc structure, as listed in the Alexandria database.

Lattice parameters (Å, degrees): 9.9582 9.9582 7.0013 44.67 44.67 60.00
Closest atoms and distances in Å follow each position.
Fractional coordinates of all 10 atoms:
Pr1 0.6038 0.2632 0.2024  2 Dy 3.32-3.50, 1 Sc 3.43
Pr2 0.9306 0.6038 0.2024  2 Dy 3.32-3.50, 1 Sc 3.43
Sc1 0.8501 0.8501 0.4496  2 Dy 2.94
Dy1 0.0956 0.0956 0.7133  1 Sc 2.94, 1 Dy 3.05
Pr3 0.2632 0.9306 0.2024  2 Dy 3.32-3.50, 1 Sc 3.43
Pr4 0.0958 0.4366 0.6983  2 Dy 3.32-3.50, 1 Sc 3.43
Dy2 0.6048 0.6048 0.1856  1 Sc 2.94, 1 Dy 3.05
Pr5 0.4366 0.7693 0.6983  2 Dy 3.32-3.50, 1 Sc 3.43
Pr6 0.7693 0.0958 0.6983  2 Dy 3.32-3.50, 1 Sc 3.43
Dy3 0.3502 0.3502 0.9493  2 Dy 3.05

## Properties
Its calculated volume is 343 Å³/cell. The calculation puts the total magnetization at 0.00 μB per cell. For the energy, the calculation gives -4.68 eV/atom.

First-principles (GGA-PBE) data for a geometry-optimized Cu3PtAu structure, as listed in the Alexandria database.

Lattice parameters (Å, degrees): 4.5785 4.5943 7.2563 85.07 71.74 75.14
Closest atoms and distances in Å follow each position.
Fractional coordinates of all 10 atoms:
Au1 0.0575 0.8449 0.6025  9 Cu 2.67-2.70, 3 Pt 2.80-2.86
Pt1 0.5600 0.3449 0.5970  9 Cu 2.62-2.72, 3 Au 2.80-2.86
Cu1 0.2530 0.8436 0.2127  7 Cu 2.62-2.80, 2 Pt 2.65-2.66, 3 Au 2.68-2.69
Cu2 0.4562 0.8444 0.8066  4 Au 2.69-2.70, 4 Pt 2.71-2.72, 4 Cu 2.80-2.82
Au2 0.3537 0.3439 0.0121  9 Cu 2.68-2.70, 3 Pt 2.80-2.86
Pt2 0.8512 0.8439 0.0176  9 Cu 2.62-2.72, 3 Au 2.80-2.86
Cu3 0.6598 0.8451 0.3980  7 Cu 2.61-2.82, 3 Pt 2.62-2.68, 2 Au 2.69
Cu4 0.7513 0.3439 0.2164  7 Cu 2.61-2.82, 3 Pt 2.62-2.68, 2 Au 2.68-2.69
Cu5 0.1577 0.3451 0.4022  7 Cu 2.62-2.80, 2 Pt 2.65-2.66, 3 Au 2.67-2.69
Cu6 0.9551 0.3443 0.8078  4 Au 2.69-2.70, 4 Pt 2.71-2.72, 4 Cu 2.79-2.82

## Properties
Its calculated volume is 140 Å³/cell. The calculation puts the total magnetization at 0.00 μB per cell. For the energy, the calculation gives -4.41 eV/atom.